Entry 1:
Ho2Bi: relaxed, PBE-GGA.

Structure (POSCAR):
```
Ho2Bi
1.0
0.000 4.475 4.475
4.475 0.000 4.475
4.475 4.475 0.000
Ho Bi
4 2
direct
0.000 0.000 0.000
0.000 0.000 0.500
0.000 0.500 0.000
0.500 0.000 0.000
0.375 0.375 0.375
0.625 0.625 0.625
```

Computed properties:
Its total energy is -4.4506 eV/atom. The total magnetic moment is 0.002 μB per atom.

Entry 2:
Ho2Bi: relaxed, PBE-GGA.

Structure (POSCAR):
```
Ho2Bi
1.0
0.000 6.877 6.877
6.877 0.000 6.877
6.877 6.877 0.000
Ho Bi
4 2
direct
0.000 0.000 0.000
0.000 0.000 0.500
0.000 0.500 0.000
0.500 0.000 0.000
0.125 0.125 0.125
0.875 0.875 0.875
```

Computed properties:
Its total energy is -3.1753 eV/atom. The total magnetic moment is 0.400 μB per atom.

Entry 3:
Ho5Bi3: relaxed, PBE-GGA.

Structure (POSCAR):
```
Ho5Bi3
1.0
11.945 0.000 0.000
0.000 9.448 0.000
0.000 0.000 8.229
Ho Bi
20 12
direct
0.005 0.250 0.021
0.064 0.062 0.690
0.064 0.438 0.690
0.210 0.750 0.341
0.229 0.250 0.327
0.271 0.750 0.827
0.290 0.250 0.841
0.436 0.562 0.190
0.436 0.938 0.190
0.495 0.750 0.521
0.505 0.250 0.479
0.564 0.062 0.810
0.564 0.438 0.810
0.710 0.750 0.159
0.729 0.250 0.173
0.771 0.750 0.673
0.790 0.250 0.659
0.936 0.562 0.310
0.936 0.938 0.310
0.995 0.750 0.979
0.026 0.750 0.600
0.175 0.508 0.065
0.175 0.992 0.065
0.325 0.008 0.565
0.325 0.492 0.565
0.474 0.250 0.100
0.526 0.750 0.900
0.675 0.508 0.435
0.675 0.992 0.435
0.825 0.008 0.935
0.825 0.492 0.935
0.974 0.250 0.400
```

Computed properties:
The total magnetic moment is 0.000 μB per atom. As for the energy above the most stable polymorph in this dataset: 0.006 eV per atom.

Entry 4:
HoBi2: relaxed, PBE-GGA.

Structure (POSCAR):
```
HoBi2
1.0
0.000 4.565 4.565
4.565 0.000 4.565
4.565 4.565 0.000
Ho Bi
2 4
direct
0.125 0.125 0.125
0.875 0.875 0.875
0.000 0.500 0.500
0.500 0.000 0.500
0.500 0.500 0.000
0.500 0.500 0.500
```

Computed properties:
Its total energy is -4.2367 eV/atom. The total magnetic moment is 0.008 μB per atom.

Entry 5:
Ho5Bi3: relaxed, PBE-GGA.

Structure (POSCAR):
```
Ho5Bi3
1.0
9.127 0.000 0.000
-4.564 7.904 0.000
0.000 0.000 6.336
Ho Bi
10 6
direct
0.000 0.243 0.250
0.000 0.757 0.750
0.243 0.000 0.250
0.243 0.243 0.750
0.333 0.667 0.000
0.333 0.667 0.500
0.667 0.333 0.000
0.667 0.333 0.500
0.757 0.000 0.750
0.757 0.757 0.250
0.000 0.389 0.750
0.000 0.611 0.250
0.389 0.000 0.750
0.389 0.389 0.250
0.611 0.000 0.250
0.611 0.611 0.750
```

Computed properties:
The total magnetic moment is 0.004 μB per atom. As for the energy above the most stable polymorph in this dataset: 0.002 eV per atom.

Entry 6:
HoBi2: relaxed, PBE-GGA.

Structure (POSCAR):
```
HoBi2
1.0
6.948 0.000 0.000
0.000 8.149 0.000
0.000 0.000 3.592
Ho Bi
2 4
direct
0.000 0.000 0.000
0.500 0.500 0.500
0.152 0.364 0.000
0.348 0.864 0.500
0.652 0.136 0.500
0.848 0.636 0.000
```

Computed properties:
Its total energy is -4.4835 eV/atom. The total magnetic moment is 0.001 μB per atom.

Entry 7:
HoBiSbIO4: relaxed, PBE-GGA.

Structure (POSCAR):
```
HoBiSbIO4
1.0
3.858 0.000 0.000
0.000 3.858 0.000
0.000 0.000 9.232
Ho Bi Sb I O
1 1 1 1 4
direct
0.000 0.000 0.000
0.500 0.500 0.733
0.500 0.500 0.261
0.000 0.000 0.502
0.000 0.500 0.155
0.000 0.500 0.859
0.500 0.000 0.155
0.500 0.000 0.859
```

Computed properties:
Its total energy is -6.1814 eV/atom. The total magnetic moment is 0.000 μB per atom.

Entry 8:
PrHoBiI2: relaxed, PBE-GGA.

Structure (POSCAR):
```
PrHoBiI2
1.0
4.450 0.000 0.000
-2.225 3.854 0.000
0.000 0.000 11.465
Pr Ho Bi I
1 1 1 2
direct
0.000 0.000 0.000
0.667 0.333 0.690
0.333 0.667 0.835
0.000 0.000 0.526
0.667 0.333 0.176
```

Computed properties:
Its total energy is -4.4580 eV/atom. The total magnetic moment is 0.000 μB per atom.

Entry 9:
YHoBiI2: relaxed, PBE-GGA.

Structure (POSCAR):
```
YHoBiI2
1.0
4.377 0.000 0.000
-2.188 3.790 0.000
0.000 0.000 11.259
Y Ho Bi I
1 1 1 2
direct
0.000 0.000 0.000
0.333 0.667 0.308
0.667 0.333 0.156
0.000 0.000 0.477
0.333 0.667 0.830
```

Computed properties:
Its total energy is -4.7597 eV/atom. The total magnetic moment is 0.000 μB per atom.

Entry 10:
KHoBiTe3: relaxed, PBE-GGA.

Structure (POSCAR):
```
KHoBiTe3
1.0
2.208 -8.478 0.000
2.208 8.478 0.000
0.000 0.000 11.872
K Ho Bi Te
2 2 2 6
direct
0.237 0.763 0.750
0.763 0.237 0.250
0.000 0.000 0.000
0.000 0.000 0.500
0.459 0.541 0.250
0.541 0.459 0.750
0.093 0.907 0.250
0.371 0.629 0.027
0.371 0.629 0.473
0.629 0.371 0.527
0.629 0.371 0.973
0.907 0.093 0.750
```

Computed properties:
Its total energy is -3.9296 eV/atom. The total magnetic moment is 0.006 μB per atom.

Entry 11:
LaHo2Bi3: relaxed, PBE-GGA.

Structure (POSCAR):
```
LaHo2Bi3
1.0
4.531 0.000 0.000
-2.266 3.924 0.000
0.000 0.000 11.058
La Ho Bi
1 2 3
direct
0.000 0.000 0.000
0.333 0.667 0.338
0.667 0.333 0.662
0.000 0.000 0.500
0.333 0.667 0.821
0.667 0.333 0.179
```

Computed properties:
Its total energy is -5.2891 eV/atom. The total magnetic moment is 0.000 μB per atom.

Entry 12:
Li3HoBiSb: relaxed, PBE-GGA.

Structure (POSCAR):
```
Li3HoBiSb
1.0
4.564 0.000 0.000
-2.282 3.952 0.000
0.000 0.000 7.147
Li Ho Bi Sb
3 1 1 1
direct
0.000 0.000 0.000
0.333 0.667 0.149
0.667 0.333 0.848
0.000 0.000 0.508
0.667 0.333 0.257
0.333 0.667 0.751
```

Computed properties:
Its total energy is -3.8133 eV/atom. The total magnetic moment is 0.001 μB per atom.

| no. | volume (Å³/f.u.) |
| --- | --- |
| 1 | 90 |
| 2 | 325 |
| 3 | 232 |
| 4 | 95 |
| 5 | 229 |
| 6 | 102 |
| 7 | 137 |
| 8 | 197 |
| 9 | 187 |
| 10 | 222 |
| 11 | 197 |
| 12 | 129 |